(1)
Below is a relaxed structure of La2Pm4Nd2Mg, with properties calculated at the PBE level.

Geometry as POSCAR:
```
La2Pm4Nd2Mg
1.0
-1.4303 -7.2409 -2.1996
8.7655 -1.7324 0.2499
-4.4148 1.2347 4.7125
La Pm Nd Mg
2 4 2 1
direct
0.7798 0.3747 0.1872 La
0.2202 0.6253 0.8128 La
0.6923 0.6677 0.8788 Pm
0.5935 0.8310 0.5097 Pm
0.3077 0.3323 0.1212 Pm
0.4065 0.1690 0.4903 Pm
0.1096 0.7959 0.4247 Nd
0.8904 0.2041 0.5753 Nd
0.0000 0.0000 0.0000 Mg
```

Summary:
Energy of formation = 0.0786 eV per atom
Total DFT energy (no corrections) = -4.3644 eV/atom

(2)
Below is a relaxed structure of La3Pm2Nd6Mg, with properties calculated at the PBE level.

Geometry as POSCAR:
```
La3Pm2Nd6Mg
1.0
6.3340 -0.0050 -0.0040
-3.1698 5.4838 -0.0040
-1.0583 -1.8325 11.9267
La Pm Nd Mg
3 2 6 1
direct
0.1682 0.8318 0.5000 La
0.8318 0.1682 0.5000 La
0.5000 0.5000 0.5000 La
0.3331 0.6669 0.0000 Pm
0.6669 0.3331 0.0000 Pm
0.9193 0.5889 0.7548 Nd
0.7510 0.7510 0.2467 Nd
0.0807 0.4111 0.2452 Nd
0.5889 0.9193 0.7548 Nd
0.2490 0.2490 0.7533 Nd
0.4111 0.0807 0.2452 Nd
0.0000 0.0000 0.0000 Mg
```

Summary:
Energy of formation = 0.0187 eV per atom
Total DFT energy (no corrections) = -4.5218 eV/atom

Number 2 is which compound? La3Pm2Nd6Mg

What did the first record say?
Below is a relaxed structure of La2Pm4Nd2Mg, with properties calculated at the PBE level.

Geometry as POSCAR:
```
La2Pm4Nd2Mg
1.0
-1.4303 -7.2409 -2.1996
8.7655 -1.7324 0.2499
-4.4148 1.2347 4.7125
La Pm Nd Mg
2 4 2 1
direct
0.7798 0.3747 0.1872 La
0.2202 0.6253 0.8128 La
0.6923 0.6677 0.8788 Pm
0.5935 0.8310 0.5097 Pm
0.3077 0.3323 0.1212 Pm
0.4065 0.1690 0.4903 Pm
0.1096 0.7959 0.4247 Nd
0.8904 0.2041 0.5753 Nd
0.0000 0.0000 0.0000 Mg
```

Summary:
Energy of formation = 0.0786 eV per atom
Total DFT energy (no corrections) = -4.3644 eV/atom